A relaxed Zr3As2 crystal. Source: the Alexandria database, functional PBEsol.

Unit cell a=3.719 b=10.062 c=10.492 alpha=90.00 beta=90.00 gamma=90.00
Element x y z (fractional)
As 0.750 0.680 0.971
As 0.250 0.180 0.529
As 0.250 0.320 0.029
As 0.750 0.820 0.471
As 0.250 0.000 0.195
As 0.750 0.500 0.305
As 0.750 0.000 0.805
As 0.250 0.500 0.695
Zr 0.750 0.125 0.045
Zr 0.250 0.625 0.455
Zr 0.250 0.875 0.955
Zr 0.750 0.375 0.545
Zr 0.250 0.567 0.123
Zr 0.750 0.067 0.377
Zr 0.750 0.433 0.877
Zr 0.250 0.933 0.623
Zr 0.750 0.795 0.215
Zr 0.250 0.295 0.285
Zr 0.250 0.205 0.785
Zr 0.750 0.705 0.715

symmetry	Pnma
E_form	-1125	meV/atom

---

A relaxed ZrAs2 crystal. Source: the Alexandria database, functional PBEsol.

Unit cell a=3.666 b=6.768 c=9.018 alpha=90.00 beta=90.00 gamma=90.00
Element x y z (fractional)
As 0.750 0.582 0.646
As 0.250 0.418 0.354
As 0.750 0.082 0.854
As 0.250 0.918 0.146
As 0.250 0.879 0.543
As 0.750 0.121 0.457
As 0.250 0.379 0.957
As 0.750 0.621 0.043
Zr 0.750 0.729 0.338
Zr 0.250 0.271 0.662
Zr 0.750 0.229 0.162
Zr 0.250 0.771 0.838

symmetry	Pnma
E_form	-920	meV/atom

---

A relaxed Zr2As crystal. Source: the Alexandria database, functional PBEsol.

Unit cell a=3.796 b=7.273 c=7.273 alpha=120.00 beta=90.00 gamma=90.00
Element x y z (fractional)
As 0.000 0.667 0.333
As 0.000 0.333 0.667
As 0.500 0.000 0.000
Zr 0.000 0.744 0.744
Zr 0.000 0.000 0.256
Zr 0.000 0.256 0.000
Zr 0.500 0.409 0.409
Zr 0.500 0.000 0.591
Zr 0.500 0.591 0.000

symmetry	P-62m
E_form	-959	meV/atom

---

A relaxed BaB3Au crystal. Source: the Alexandria database, functional PBEsol.

Unit cell a=4.824 b=4.824 c=4.824 alpha=90.00 beta=90.00 gamma=90.00
Element x y z (fractional)
B 0.000 0.500 0.000
B 0.000 0.000 0.500
B 0.500 0.000 0.000
Au 0.500 0.500 0.500
Ba 0.000 0.000 0.000

symmetry	Pm-3m
E_form	3066	meV/atom

---

A relaxed BaMg2BAu crystal. Source: the Alexandria database, functional PBEsol.

Unit cell a=4.491 b=4.847 c=4.847 alpha=90.00 beta=90.00 gamma=90.00
Element x y z (fractional)
Mg 0.000 0.000 0.500
Mg 0.000 0.500 0.000
B 0.000 0.000 0.000
Au 0.500 0.000 0.000
Ba 0.500 0.500 0.500

symmetry	P4/mmm
E_form	108	meV/atom

---

A relaxed BaBW2Au crystal. Source: the Alexandria database, functional PBEsol.

Unit cell a=4.435 b=4.435 c=4.502 alpha=90.00 beta=90.00 gamma=90.00
Element x y z (fractional)
B 0.000 0.000 0.000
Au 0.000 0.000 0.500
Ba 0.500 0.500 0.500
W 0.000 0.500 0.000
W 0.500 0.000 0.000

symmetry	P4/mmm
E_form	942	meV/atom

---

A relaxed BeBAu2 crystal. Source: the Alexandria database, functional PBEsol.

Unit cell a=4.111 b=4.111 c=4.111 alpha=60.00 beta=60.00 gamma=60.00
Element x y z (fractional)
Be 0.000 0.000 0.000
B 0.500 0.500 0.500
Au 0.250 0.250 0.250
Au 0.750 0.750 0.750

symmetry	Fm-3m
E_form	519	meV/atom

---

A relaxed BTeAuC2 crystal. Source: the Alexandria database, functional PBEsol.

Unit cell a=3.553 b=3.553 c=6.736 alpha=90.00 beta=90.00 gamma=90.00
Element x y z (fractional)
C 0.000 0.500 0.000
C 0.500 0.000 0.000
Te 0.500 0.500 0.500
Au 0.000 0.000 0.500
B 0.000 0.000 0.000

symmetry	P4/mmm
raw formation energy	2064	meV/atom

---

A relaxed CaB2Au crystal. Source: the Alexandria database, functional PBEsol.

Unit cell a=4.211 b=4.211 c=4.211 alpha=60.00 beta=60.00 gamma=60.00
Element x y z (fractional)
Ca 0.000 0.000 0.000
B 0.250 0.250 0.250
B 0.750 0.750 0.750
Au 0.500 0.500 0.500

symmetry	Fm-3m
E_form	723	meV/atom

---

A relaxed BAuCl2 crystal. Source: the Alexandria database, functional PBEsol.

Unit cell a=4.941 b=4.941 c=7.848 alpha=108.35 beta=108.35 gamma=90.00
Element x y z (fractional)
B 0.750 0.250 0.500
B 0.500 0.500 0.000
Au 0.250 0.750 0.500
Au 0.000 0.000 0.000
Cl 0.393 0.875 0.250
Cl 0.857 0.375 0.250
Cl 0.125 0.143 0.750
Cl 0.625 0.607 0.750

symmetry	I-42d
raw formation energy	914	meV/atom

---

A relaxed BP2AuCl crystal. Source: the Alexandria database, functional PBEsol.

Unit cell a=4.097 b=4.221 c=4.221 alpha=90.00 beta=90.00 gamma=90.00
Element x y z (fractional)
P 0.000 0.000 0.500
P 0.000 0.500 0.000
B 0.000 0.000 0.000
Au 0.500 0.500 0.500
Cl 0.500 0.000 0.000

symmetry	P4/mmm
raw formation energy	797	meV/atom

---

A relaxed CrB2Au crystal. Source: the Alexandria database, functional PBEsol.

Unit cell a=3.817 b=3.817 c=3.817 alpha=60.00 beta=60.00 gamma=60.00
Element x y z (fractional)
Cr 0.000 0.000 0.000
B 0.250 0.250 0.250
B 0.750 0.750 0.750
Au 0.500 0.500 0.500

symmetry	Fm-3m
E_form	722	meV/atom

---

A relaxed NaCr2BAu crystal. Source: the Alexandria database, functional PBEsol.

Unit cell a=4.049 b=5.154 c=5.154 alpha=90.00 beta=90.00 gamma=90.00
Element x y z (fractional)
Cr 0.000 0.000 0.500
Cr 0.000 0.500 0.000
B 0.500 0.000 0.000
Au 0.000 0.000 0.000
Na 0.500 0.500 0.500

symmetry	P4/mmm
E_form	1221	meV/atom

---

A relaxed ScCr2BAu crystal. Source: the Alexandria database, functional PBEsol.

Unit cell a=4.596 b=4.596 c=4.832 alpha=90.00 beta=90.00 gamma=90.00
Element x y z (fractional)
Sc 0.000 0.000 0.000
Cr 0.000 0.500 0.000
Cr 0.500 0.000 0.000
B 0.500 0.500 0.500
Au 0.000 0.000 0.500

symmetry	P4/mmm
E_form	2358	meV/atom

---

A relaxed CuB2Au crystal. Source: the Alexandria database, functional PBEsol.

Unit cell a=3.878 b=3.878 c=3.878 alpha=60.00 beta=60.00 gamma=60.00
Element x y z (fractional)
B 0.250 0.250 0.250
B 0.750 0.750 0.750
Au 0.500 0.500 0.500
Cu 0.000 0.000 0.000

symmetry	Fm-3m
E_form	1025	meV/atom

---

A relaxed Cu3BAu crystal. Source: the Alexandria database, functional PBEsol.

Unit cell a=3.918 b=3.918 c=3.918 alpha=90.00 beta=90.00 gamma=90.00
Element x y z (fractional)
B 0.000 0.000 0.000
Au 0.500 0.500 0.500
Cu 0.000 0.500 0.000
Cu 0.000 0.000 0.500
Cu 0.500 0.000 0.000

symmetry	Pm-3m
E_form	215	meV/atom

---

A relaxed Cu2GeBAu crystal. Source: the Alexandria database, functional PBEsol.

Unit cell a=4.098 b=4.043 c=4.043 alpha=90.00 beta=90.00 gamma=90.00
Element x y z (fractional)
Ge 0.500 0.000 0.000
B 0.000 0.000 0.000
Au 0.500 0.500 0.500
Cu 0.000 0.000 0.500
Cu 0.000 0.500 0.000

symmetry	P4/mmm
E_form	373	meV/atom

---

A relaxed Cu2BPtAu crystal. Source: the Alexandria database, functional PBEsol.

Unit cell a=4.598 b=4.598 c=5.000 alpha=90.00 beta=90.00 gamma=90.00
Element x y z (fractional)
B 0.500 0.500 0.500
Au 0.000 0.000 0.500
Cu 0.000 0.500 0.000
Cu 0.500 0.000 0.000
Pt 0.000 0.000 0.000

symmetry	P4/mmm
E_form	1821	meV/atom

---

A relaxed FeBAu3 crystal. Source: the Alexandria database, functional PBEsol.

Unit cell a=4.717 b=4.717 c=4.717 alpha=90.00 beta=90.00 gamma=90.00
Element x y z (fractional)
B 0.500 0.500 0.500
Au 0.000 0.500 0.000
Au 0.000 0.000 0.500
Au 0.500 0.000 0.000
Fe 0.000 0.000 0.000

symmetry	Pm-3m
E_form	1742	meV/atom

---

A relaxed FeB2Au crystal. Source: the Alexandria database, functional PBEsol.

Unit cell a=4.632 b=4.632 c=5.672 alpha=114.10 beta=114.10 gamma=90.00
Element x y z (fractional)
B 0.827 0.375 0.250
B 0.423 0.875 0.250
B 0.625 0.577 0.750
B 0.125 0.173 0.750
Au 0.250 0.750 0.500
Au 0.000 0.000 0.000
Fe 0.750 0.250 0.500
Fe 0.500 0.500 0.000

symmetry	I-42d
E_form	736	meV/atom